DFT (PBE-GGA) results for crystalline AcTb3DyHo at its relaxed geometry.

Output
Calculated formation energy in meV per atom: 224
Final energy in eV per cell: -103.35
DOS(E_F) in states/eV/atom: 1.653
Spin magnetization in μB per formula unit: 0.000

abc: 23.010 5.400 7.010
angles: 90.00 98.25 90.00
Space group C2/m (No. 12)
Unique sites:
1 Ac 0.127 0.000 0.482
2 Tb 0.021 0.000 0.783
3 Tb 0.180 0.500 0.784
4 Tb 0.225 0.500 0.309
5 Dy 0.075 0.500 0.112
6 Ho 0.167 0.000 0.023